No. 1
## NbCoAsBr2 (PBE-GGA)

Data for crystalline NbCoAsBr2 at its relaxed geometry.

abc: 4.837 4.837 4.580
angles: 90.00 90.00 90.00
Atoms (fractional coordinates):
Nb (0.000, 0.000, 0.000)
Co (0.500, 0.500, 0.500)
As (0.500, 0.500, 0.000)
Br (0.000, 0.500, 0.500)
Br (0.500, 0.000, 0.500)

## Properties
raw total energy: -4.33 eV/atom
formation energy from raw total energies: 706.3 meV/atom
symmetry: P4/mmm (123)

=====

No. 2
## Cs2CrAsBr6 (PBE-GGA)

Data for crystalline Cs2CrAsBr6 at its relaxed geometry.

abc: 7.970 7.970 7.970
angles: 122.69 122.69 85.41
Atoms (fractional coordinates):
Cs (0.250, 0.750, 0.500)
Cs (0.750, 0.250, 0.500)
Cr (0.000, 0.000, 0.000)
As (0.500, 0.500, 0.000)
Br (0.216, 0.216, 0.000)
Br (0.250, 0.250, 0.501)
Br (0.250, 0.750, 0.000)
Br (0.750, 0.250, 0.000)
Br (0.750, 0.750, 0.499)
Br (0.784, 0.784, 0.000)

## Properties
raw total energy: -3.56 eV/atom
formation energy from raw total energies: -962.3 meV/atom
symmetry: I4/mmm (139)

=====

No. 3
## Li2SiSe (PBE-GGA)

Data for crystalline Li2SiSe at its relaxed geometry.

abc: 5.833 5.833 5.833
angles: 102.28 102.28 125.07
Atoms (fractional coordinates):
Li (0.092, 0.625, 0.967)
Li (0.375, 0.342, 0.467)
Li (0.658, 0.125, 0.033)
Li (0.875, 0.908, 0.533)
Si (0.250, 0.750, 0.500)
Si (0.500, 0.500, 0.000)
Se (0.000, 0.000, 0.000)
Se (0.750, 0.250, 0.500)

## Properties
raw total energy: -3.40 eV/atom
formation energy from raw total energies: -217.3 meV/atom
symmetry: I-42d (122)

=====

No. 4
## Lu2MgAu (PBE-GGA)

Data for crystalline Lu2MgAu at its relaxed geometry.

abc: 3.639 3.639 7.139
angles: 90.00 90.00 90.00
Atoms (fractional coordinates):
Lu (0.000, 0.000, 0.233)
Lu (0.000, 0.000, 0.767)
Mg (0.500, 0.500, 0.500)
Au (0.500, 0.500, 0.000)

## Properties
ΔH_f (0 K): -0.4755 eV per atom
raw total energy: -3.95 eV/atom
symmetry: P4/mmm (123)

=====

No. 5
## LiOs2Au (PBE-GGA)

Data for crystalline LiOs2Au at its relaxed geometry.

abc: 2.820 2.820 7.466
angles: 90.00 90.00 90.00
Atoms (fractional coordinates):
Li (0.000, 0.000, 0.000)
Os (0.000, 0.000, 0.471)
Os (0.500, 0.500, 0.253)
Au (0.500, 0.500, 0.763)

## Properties
ΔH_f (0 K): 0.1677 eV per atom
raw total energy: -6.74 eV/atom
symmetry: P4mm (99)

=====

No. 6
## NdY6Ho4 (PBE-GGA)

Data for crystalline NdY6Ho4 at its relaxed geometry.

abc: 8.505 8.505 8.505
angles: 126.76 126.76 78.65
Atoms (fractional coordinates):
Nd (0.000, 0.000, 0.000)
Y (0.000, 0.500, 0.500)
Y (0.055, 0.570, 0.000)
Y (0.430, 0.430, 0.486)
Y (0.500, 0.000, 0.500)
Y (0.570, 0.055, 0.000)
Y (0.945, 0.945, 0.514)
Ho (0.260, 0.260, 0.674)
Ho (0.414, 0.740, 0.000)
Ho (0.586, 0.586, 0.326)
Ho (0.740, 0.414, 0.000)

## Properties
ΔH_f (0 K): 0.4274 eV per atom
raw total energy: -5.20 eV/atom
symmetry: I-42m (121)

=====

No. 7
## TmZn2Hg (PBE-GGA)

Data for crystalline TmZn2Hg at its relaxed geometry.

abc: 4.267 4.267 4.490
angles: 90.00 90.00 90.00
Atoms (fractional coordinates):
Tm (0.000, 0.000, 0.000)
Zn (0.000, 0.500, 0.500)
Zn (0.500, 0.000, 0.500)
Hg (0.500, 0.500, 0.000)

## Properties
ΔH_f (0 K): -0.2318 eV per atom
raw total energy: -2.06 eV/atom
symmetry: P4/mmm (123)

=====

No. 8
## Ba2ScN2 (PBE-GGA)

Data for crystalline Ba2ScN2 at its relaxed geometry.

abc: 7.089 7.089 7.089
angles: 142.39 142.39 54.24
Atoms (fractional coordinates):
Ba (0.250, 0.750, 0.500)
Ba (0.750, 0.250, 0.500)
Sc (0.000, 0.000, 0.000)
N (0.364, 0.364, 0.000)
N (0.636, 0.636, 0.000)

## Properties
raw total energy: -4.45 eV/atom
formation energy from raw total energies: 912.9 meV/atom
symmetry: I4/mmm (139)

=====

> What is the formula in the seventh record?

TmZn2Hg

=====

> What is the raw total energy in the first record?

-4.33 eV/atom

=====

> Which formula does entry 2 have?

Cs2CrAsBr6

=====

What did the fifth record say?
## LiOs2Au (PBE-GGA)

Data for crystalline LiOs2Au at its relaxed geometry.

abc: 2.820 2.820 7.466
angles: 90.00 90.00 90.00
Atoms (fractional coordinates):
Li (0.000, 0.000, 0.000)
Os (0.000, 0.000, 0.471)
Os (0.500, 0.500, 0.253)
Au (0.500, 0.500, 0.763)

## Properties
ΔH_f (0 K): 0.1677 eV per atom
raw total energy: -6.74 eV/atom
symmetry: P4mm (99)